Record 1
DFT (PBE) results for CoNi3Te8 after structural relaxation.

Values from the calculation:
- Final energy: -4.349 eV/atom

abc: 7.7585 7.7507 6.6152
angles: 106.99 107.23 120.04
Last column: nearest neighbours and their distance in Å.
Fractional coordinates of all 12 atoms:
1 Te 0.7883 0.4553 0.2411  3 Ni 2.58-2.59
2 Te 0.7113 0.5490 0.7549  1 Co 2.56, 2 Ni 2.60-2.62
3 Te 0.2117 0.5447 0.7589  3 Ni 2.58-2.59
4 Te 0.2036 0.0409 0.7549  1 Co 2.56, 2 Ni 2.61-2.62
5 Ni 0.5000 0.5000 0.0000  6 Te 2.58-2.61
6 Ni 0.0000 0.5000 0.0000  6 Te 2.58-2.62
7 Te 0.7964 0.9591 0.2451  1 Co 2.56, 2 Ni 2.61-2.62
8 Te 0.2887 0.4510 0.2451  1 Co 2.56, 2 Ni 2.60-2.62
9 Te 0.2852 0.9565 0.2397  1 Co 2.55, 2 Ni 2.59
10 Ni 0.5000 0.0000 0.0000  6 Te 2.59-2.62
11 Co 0.0000 0.0000 0.0000  6 Te 2.55-2.56
12 Te 0.7148 0.0435 0.7603  1 Co 2.55, 2 Ni 2.59

---

Record 2
DFT (PBE) results for CoNiTe2 after structural relaxation.

Values from the calculation:
- Relative energy among the computed polymorphs: 0.453 eV/atom

abc: 4.6211 4.6211 4.6211
angles: 60.00 60.00 60.00
Last column: nearest neighbours and their distance in Å.
Fractional coordinates of all 4 atoms:
1 Co 0.0000 0.0000 0.0000  8 Te 2.83
2 Te 0.2500 0.2500 0.2500  4 Ni 2.83, 4 Co 2.83
3 Te 0.7500 0.7500 0.7500  4 Ni 2.83, 4 Co 2.83
4 Ni 0.5000 0.5000 0.5000  8 Te 2.83

---

Record 3
DFT (PBE) results for CoNi2Te6 after structural relaxation.

Values from the calculation:
- Relative energy among the computed polymorphs: 0.194 eV/atom

abc: 5.9950 5.9950 11.8733
angles: 90.00 90.00 90.00
Last column: nearest neighbours and their distance in Å.
Fractional coordinates of all 18 atoms:
1 Te 0.8036 0.1964 0.0000  1 Co 2.57, 2 Ni 2.60
2 Te 0.3045 0.3045 0.1640  1 Co 2.56, 2 Ni 2.58-2.59
3 Te 0.6955 0.6955 0.1640  1 Co 2.56, 2 Ni 2.58-2.59
4 Te 0.8045 0.1955 0.3360  1 Co 2.56, 2 Ni 2.58-2.59
5 Te 0.8045 0.1955 0.6640  1 Co 2.56, 2 Ni 2.58-2.59
6 Ni 0.0000 0.0000 0.1683  6 Te 2.58-2.60
7 Ni 0.0000 0.0000 0.8317  6 Te 2.58-2.60
8 Te 0.6955 0.6955 0.8360  1 Co 2.56, 2 Ni 2.58-2.59
9 Te 0.1964 0.8036 0.0000  1 Co 2.57, 2 Ni 2.60
10 Co 0.5000 0.5000 0.0000  6 Te 2.56-2.57
11 Ni 0.5000 0.5000 0.6683  6 Te 2.58-2.60
12 Te 0.1955 0.8045 0.3360  1 Co 2.56, 2 Ni 2.58-2.59
13 Te 0.3045 0.3045 0.8360  1 Co 2.56, 2 Ni 2.58-2.59
14 Te 0.3036 0.3036 0.5000  1 Co 2.57, 2 Ni 2.60
15 Te 0.1955 0.8045 0.6640  1 Co 2.56, 2 Ni 2.58-2.59
16 Ni 0.5000 0.5000 0.3317  6 Te 2.58-2.60
17 Te 0.6964 0.6964 0.5000  1 Co 2.57, 2 Ni 2.60
18 Co 0.0000 0.0000 0.5000  6 Te 2.56-2.57

---

Record 4
DFT (PBE) results for CoNiTe2 after structural relaxation.

Values from the calculation:
- Relative energy among the computed polymorphs: 0.080 eV/atom

abc: 3.3895 3.3895 7.2427
angles: 90.00 90.00 90.00
Last column: nearest neighbours and their distance in Å.
Fractional coordinates of all 4 atoms:
1 Ni 0.5000 0.5000 0.7228  5 Te 2.51-2.63, 4 Co 2.78
2 Te 0.0000 0.0000 0.8725  1 Co 2.49, 4 Ni 2.63
3 Co 0.0000 0.0000 0.5280  5 Te 2.49-2.64, 4 Ni 2.78
4 Te 0.5000 0.5000 0.3767  1 Ni 2.51, 4 Co 2.64

---

Number 1: N(E_F) 6.95 states/eV per cell. Number 2: N(E_F) 1.77 states/eV per cell. Number 3: N(E_F) 24.55 states/eV per cell. Number 4: N(E_F) 2.86 states/eV per cell.